The following is a DFT calculation (GGA-PBE) of a geometry-optimized La2BAsC structure. Values from VASP.

Quantum ESPRESSO input file:
```
&SYSTEM
  ibrav = 0, nat = 5, ntyp = 4
/
ATOMIC_SPECIES
La 138.91 La.upf
C 12.01 C.upf
As 74.92 As.upf
B 10.81 B.upf
CELL_PARAMETERS angstrom
-5.3995 -1.1618 -1.1910
0.8896 -0.3417 -3.6999
1.0185 -5.5062 0.7534
ATOMIC_POSITIONS crystal
La 0.5000 0.0000 0.0000
C 0.0000 0.5000 0.0000
As 0.0000 0.0000 0.0000
La 0.0000 0.0000 0.5000
B 0.5000 0.5000 0.5000
```

Summary:
DFT total energy: -25.66 eV per cell
Space-group type: P4/mmm (123)